A geometry-optimized LaNdCo2 structure. Source: Alexandria, functional PBE.

Uncorrected energy   -5.927 eV/atom
Energy relative to the elements   50 meV per atom
SG   Fm-3m (225)
Theoretical density   7.83 Mg/m³

Cell: 6.981 6.981 6.981 Å, 90.00 90.00 90.00°
Positions (direct):
La  0.000  0.000  0.000
La  0.000  0.500  0.500
La  0.500  0.000  0.500
La  0.500  0.500  0.000
Nd  0.000  0.000  0.500
Nd  0.000  0.500  0.000
Nd  0.500  0.000  0.000
Nd  0.500  0.500  0.500
Co  0.250  0.250  0.250
Co  0.250  0.250  0.750
Co  0.250  0.750  0.250
Co  0.250  0.750  0.750
Co  0.750  0.250  0.250
Co  0.750  0.250  0.750
Co  0.750  0.750  0.250
Co  0.750  0.750  0.750



A geometry-optimized La3NdCo structure. Source: Alexandria, functional PBE.

Uncorrected energy   -5.309 eV/atom
Energy relative to the elements   22 meV per atom
SG   Pm-3m (221)
Theoretical density   6.17 Mg/m³

Cell: 5.504 5.504 5.504 Å, 90.00 90.00 90.00°
Positions (direct):
La  0.000  0.000  0.500
La  0.000  0.500  0.000
La  0.500  0.000  0.000
Nd  0.500  0.500  0.500
Co  0.000  0.000  0.000



A geometry-optimized La6Nd2Co structure. Source: Alexandria, functional PBE.

Uncorrected energy   -5.132 eV/atom
Energy relative to the elements   2 meV per atom
SG   Pnnm (58)
Theoretical density   6.24 Mg/m³

Cell: 8.858 9.344 7.594 Å, 90.00 90.00 90.00°
Positions (direct):
La  0.000  0.210  0.249
La  0.000  0.210  0.751
La  0.000  0.790  0.249
La  0.000  0.790  0.751
La  0.196  0.499  0.500
La  0.304  0.999  0.000
La  0.500  0.290  0.251
La  0.500  0.290  0.749
La  0.500  0.710  0.251
La  0.500  0.710  0.749
La  0.696  0.001  0.000
La  0.804  0.501  0.500
Nd  0.197  0.500  0.000
Nd  0.303  0.000  0.500
Nd  0.697  0.000  0.500
Nd  0.803  0.500  0.000
Co  0.000  0.000  0.000
Co  0.500  0.500  0.500



> Look up the uncorrected energy of the third one.

-5.132 eV/atom



> theoretical density of number 2 (La3NdCo)?

6.17 Mg/m³